The following is a DFT calculation (GGA-PBE) of a relaxed structure of HoMgIrAu.

Cell lengths 4.7722, 4.7722, 4.7722 Å; angles 60.00, 60.00, 60.00 degrees
With the nearest neighbours (Å) after each atom.
Positions (direct):
Ho1 0.0000 0.0000 0.0000  4 Ir 2.92, 4 Au 2.92
Mg1 0.5000 0.5000 0.5000  4 Ir 2.92, 4 Au 2.92
Ir1 0.2500 0.2500 0.2500  4 Ho 2.92, 4 Mg 2.92
Au1 0.7500 0.7500 0.7500  4 Ho 2.92, 4 Mg 2.92

Calculated values
ΔE_f, meV per atom: -635
Raw total energy, Ha/atom: -0.192
Density of states at the Fermi level, states/eV per cell: 2.92

=====

The following is a DFT calculation (GGA-PBE) of a relaxed structure of NdHoIrAu.

Cell lengths 5.0406, 5.0406, 5.0406 Å; angles 60.00, 60.00, 60.00 degrees
With the nearest neighbours (Å) after each atom.
Positions (direct):
Nd1 0.0000 0.0000 0.0000  4 Au 3.09, 4 Ir 3.09
Ho1 0.5000 0.5000 0.5000  4 Ir 3.09, 4 Au 3.09
Ir1 0.2500 0.2500 0.2500  4 Ho 3.09, 4 Nd 3.09
Au1 0.7500 0.7500 0.7500  4 Nd 3.09, 4 Ho 3.09

Calculated values
ΔE_f, meV per atom: -739
Raw total energy, Ha/atom: -0.225
Density of states at the Fermi level, states/eV per cell: 3.26

=====

The following is a DFT calculation (GGA-PBE) of a relaxed structure of HoNpIrAu.

Cell lengths 4.9626, 4.9626, 4.9626 Å; angles 60.00, 60.00, 60.00 degrees
With the nearest neighbours (Å) after each atom.
Positions (direct):
Ho1 0.0000 0.0000 0.0000  4 Au 3.04, 4 Ir 3.04
Np1 0.5000 0.5000 0.5000  4 Ir 3.04, 4 Au 3.04
Ir1 0.2500 0.2500 0.2500  4 Ho 3.04, 4 Np 3.04
Au1 0.7500 0.7500 0.7500  4 Ho 3.04, 4 Np 3.04

Calculated values
ΔE_f, meV per atom: -403
Raw total energy, Ha/atom: -0.287
Density of states at the Fermi level, states/eV per cell: 10.93

=====

The following is a DFT calculation (GGA-PBE) of a relaxed structure of HoPaIrAu.

Cell lengths 4.9804, 4.9804, 4.9804 Å; angles 60.00, 60.00, 60.00 degrees
With the nearest neighbours (Å) after each atom.
Positions (direct):
Ho1 0.0000 0.0000 0.0000  4 Ir 3.05, 4 Au 3.05
Pa1 0.5000 0.5000 0.5000  4 Ir 3.05, 4 Au 3.05
Ir1 0.2500 0.2500 0.2500  4 Pa 3.05, 4 Ho 3.05
Au1 0.7500 0.7500 0.7500  4 Ho 3.05, 4 Pa 3.05

Calculated values
ΔE_f, meV per atom: -582
Raw total energy, Ha/atom: -0.262
Density of states at the Fermi level, states/eV per cell: 5.06

=====

What did the first record say?
The following is a DFT calculation (GGA-PBE) of a relaxed structure of HoMgIrAu.

Cell lengths 4.7722, 4.7722, 4.7722 Å; angles 60.00, 60.00, 60.00 degrees
With the nearest neighbours (Å) after each atom.
Positions (direct):
Ho1 0.0000 0.0000 0.0000  4 Ir 2.92, 4 Au 2.92
Mg1 0.5000 0.5000 0.5000  4 Ir 2.92, 4 Au 2.92
Ir1 0.2500 0.2500 0.2500  4 Ho 2.92, 4 Mg 2.92
Au1 0.7500 0.7500 0.7500  4 Ho 2.92, 4 Mg 2.92

Calculated values
ΔE_f, meV per atom: -635
Raw total energy, Ha/atom: -0.192
Density of states at the Fermi level, states/eV per cell: 2.92

=====

Question: Look up the ΔE_f of the fourth one.
Answer: -582 meV per atom

=====

Question: The lowest ΔE_f belongs to which entry?
Answer: NdHoIrAu